Entry 1:
VASP calculation (PBE-GGA) on an optimized crystal structure of SnTeSe3.

SG: Pm-3m
Formation energy from raw total energies (eV/f.u.): 1.378
Offset from the most stable computed form (eV/atom): 0.445
Crystal system: cubic

The structure in CIF format:
```
data_SnTeSe3
_chemical_formula_sum 'Sn1 Te1 Se3'
_space_group_name_H-M_alt 'P 1'
_space_group_IT_number 1
_space_group_name_Hall 'P 1'
_cell_length_a 5.338
_cell_length_b 5.338
_cell_length_c 5.338
_cell_angle_alpha 90.00
_cell_angle_beta 90.00
_cell_angle_gamma 90.00
loop_
_atom_site_label
_atom_site_type_symbol
_atom_site_fract_x
_atom_site_fract_y
_atom_site_fract_z
Te1 Te 0.000 0.000 0.000
Se1 Se 0.500 0.000 0.000
Se2 Se 0.000 0.000 0.500
Se3 Se 0.000 0.500 0.000
Sn1 Sn 0.500 0.500 0.500
```

---

Entry 2:
VASP calculation (PBE-GGA) on an optimized crystal structure of K3BiO.

SG: Pm-3m
Formation energy from raw total energies (eV/f.u.): -2.759
Offset from the most stable computed form (eV/atom): 0.000
Crystal system: cubic

The structure in CIF format:
```
data_K3BiO
_chemical_formula_sum 'K3 Bi1 O1'
_space_group_name_H-M_alt 'P 1'
_space_group_IT_number 1
_space_group_name_Hall 'P 1'
_cell_length_a 5.483
_cell_length_b 5.483
_cell_length_c 5.483
_cell_angle_alpha 90.00
_cell_angle_beta 90.00
_cell_angle_gamma 90.00
loop_
_atom_site_label
_atom_site_type_symbol
_atom_site_fract_x
_atom_site_fract_y
_atom_site_fract_z
K1 K 0.000 0.000 0.500
K2 K 0.500 0.000 0.000
K3 K 0.000 0.500 0.000
Bi1 Bi 0.500 0.500 0.500
O1 O 0.000 0.000 0.000
```

---

Entry 3:
VASP calculation (PBE-GGA) on an optimized crystal structure of LaY2Er2Tm2.

SG: C2/m
VASP energy (eV per atom): -5.029
Crystal system: monoclinic

The structure in CIF format:
```
data_LaY2Er2Tm2
_chemical_formula_sum 'La1 Y2 Er2 Tm2'
_space_group_name_H-M_alt 'P 1'
_space_group_IT_number 1
_space_group_name_Hall 'P 1'
_cell_length_a 3.499
_cell_length_b 6.071
_cell_length_c 11.767
_cell_angle_alpha 71.98
_cell_angle_beta 90.00
_cell_angle_gamma 106.75
loop_
_atom_site_label
_atom_site_type_symbol
_atom_site_fract_x
_atom_site_fract_y
_atom_site_fract_z
Er1 Er 0.330 0.659 0.082
Er2 Er 0.670 0.341 0.918
Y1 Y 0.553 0.106 0.225
Y2 Y 0.447 0.894 0.775
Tm1 Tm 0.223 0.445 0.643
Tm2 Tm 0.777 0.555 0.357
La1 La 0.000 0.000 0.500
```